{
  "formula": "ThGaPd4",
  "functional": "GGA-PBE",
  "state": "optimized geometry",
  "sg": "Pbam, No. 55",
  "polymorph_energy_ev_per_atom": 0.0000,
  "total_magnetization_mub_per_fu": 0.00,
  "mass_density_g_cm3": 11.04,
  "lattice": [[5.5536, 0.0000, -0.2357], [0.0000, 8.7226, 0.0000], [0.1918, 0.0000, 4.5092]],
  "species": ["Th", "Th", "Ga", "Ga", "Pd", "Pd", "Pd", "Pd", "Pd", "Pd", "Pd", "Pd"],
  "fractional_positions": [[0.0000, 0.0000, 0.0000], [0.5000, 0.5000, 0.0000], [0.5000, 0.0000, 0.5000], [0.0000, 0.5000, 0.5000], [0.9951, 0.6618, 0.9995], [0.5049, 0.1618, 0.0005], [0.7601, 0.2451, 0.5006], [0.7399, 0.7451, 0.4994], [0.0049, 0.3382, 0.0005], [0.4951, 0.8382, 0.9995], [0.2399, 0.7549, 0.4994], [0.2601, 0.2549, 0.5006]]
}

{
  "formula": "ThGa2Pd3",
  "functional": "GGA-PBE",
  "state": "optimized geometry",
  "sg": "P6_3/mmc, No. 194",
  "e_tot_ev_per_atom": -5.61,
  "total_magnetization_mub_per_fu": 0.00,
  "mass_density_g_cm3": 10.37,
  "lattice": [[-0.7460, 4.4140, -0.1701], [-1.2854, -2.3522, 3.5894], [11.3069, 2.1206, 5.4386]],
  "species": ["Th", "Th", "Ga", "Ga", "Ga", "Ga", "Pd", "Pd", "Pd", "Pd", "Pd", "Pd"],
  "fractional_positions": [[0.0000, 0.0000, 0.2500], [0.0000, 0.0000, 0.7500], [0.6667, 0.3333, 0.4154], [0.3333, 0.6667, 0.5846], [0.3333, 0.6667, 0.9154], [0.6667, 0.3333, 0.0846], [0.0000, 0.0000, 0.5000], [0.0000, 0.0000, 0.0000], [0.6667, 0.3333, 0.6215], [0.3333, 0.6667, 0.1215], [0.6667, 0.3333, 0.8785], [0.3333, 0.6667, 0.3785]]
}

{
  "formula": "Th4GaPd15",
  "functional": "GGA-PBE",
  "state": "optimized geometry",
  "sg": "P4/mmm, No. 123",
  "e_tot_ev_per_atom": -6.38,
  "total_magnetization_mub_per_fu": 0.00,
  "mass_density_g_cm3": 11.93,
  "lattice": [[4.1983, 0.0000, 0.0000], [0.0000, 4.1983, 0.0000], [0.0000, 0.0000, 20.4918]],
  "species": ["Th", "Th", "Th", "Th", "Ga", "Pd", "Pd", "Pd", "Pd", "Pd", "Pd", "Pd", "Pd", "Pd", "Pd", "Pd", "Pd", "Pd", "Pd", "Pd"],
  "fractional_positions": [[0.0000, 0.0000, 0.1870], [0.0000, 0.0000, 0.3957], [0.0000, 0.0000, 0.6043], [0.0000, 0.0000, 0.8130], [0.0000, 0.0000, 0.0000], [0.5000, 0.5000, 0.0000], [0.5000, 0.5000, 0.1922], [0.5000, 0.5000, 0.3980], [0.5000, 0.5000, 0.6020], [0.5000, 0.5000, 0.8078], [0.5000, 0.0000, 0.0894], [0.5000, 0.0000, 0.2944], [0.5000, 0.0000, 0.5000], [0.5000, 0.0000, 0.7056], [0.5000, 0.0000, 0.9106], [0.0000, 0.5000, 0.0894], [0.0000, 0.5000, 0.2944], [0.0000, 0.5000, 0.5000], [0.0000, 0.5000, 0.7056], [0.0000, 0.5000, 0.9106]]
}

{
  "formula": "Th4GaPd2",
  "functional": "GGA-PBE",
  "state": "optimized geometry",
  "sg": "R-3m, No. 166",
  "e_tot_ev_per_atom": -6.49,
  "total_magnetization_mub_per_fu": 0.00,
  "mass_density_g_cm3": 10.17,
  "lattice": [[-2.0803, 3.3717, 1.9180], [-0.1684, 0.2720, 4.3900], [9.2757, 7.3992, 2.1040]],
  "species": ["Th", "Th", "Th", "Th", "Ga", "Pd", "Pd"],
  "fractional_positions": [[0.6992, 0.6992, 0.9023], [0.8812, 0.8812, 0.3565], [0.3008, 0.3008, 0.0977], [0.1188, 0.1188, 0.6435], [0.5000, 0.5000, 0.5000], [0.5939, 0.5939, 0.2183], [0.4061, 0.4061, 0.7817]]
}

{
  "formula": "Th4Ga12Pd",
  "functional": "GGA-PBE",
  "state": "optimized geometry",
  "sg": "Im-3m, No. 229",
  "e_tot_ev_per_atom": -4.75,
  "total_magnetization_mub_per_fu": 0.00,
  "mass_density_g_cm3": 8.91,
  "lattice": [[7.2400, 0.0000, -2.5597], [-3.6200, 6.2700, -2.5597], [0.0000, 0.0000, 7.6791]],
  "species": ["Th", "Th", "Th", "Th", "Ga", "Ga", "Ga", "Ga", "Ga", "Ga", "Ga", "Ga", "Ga", "Ga", "Ga", "Ga", "Pd"],
  "fractional_positions": [[0.0000, 0.0000, 0.5000], [0.5000, 0.0000, 0.0000], [0.5000, 0.5000, 0.5000], [0.0000, 0.5000, 0.0000], [0.0000, 0.3007, 0.3007], [0.0000, 0.6993, 0.6993], [0.6993, 0.6993, 0.0000], [0.3007, 0.3007, 0.0000], [0.3007, 0.0000, 0.3007], [0.6993, 0.0000, 0.6993], [0.5000, 0.2500, 0.7500], [0.5000, 0.7500, 0.2500], [0.7500, 0.2500, 0.5000], [0.2500, 0.7500, 0.5000], [0.7500, 0.5000, 0.2500], [0.2500, 0.5000, 0.7500], [0.0000, 0.0000, 0.0000]]
}

{
  "formula": "ThGa9Pd2",
  "functional": "GGA-PBE",
  "state": "optimized geometry",
  "sg": "I4_1/amd, No. 141",
  "e_tot_ev_per_atom": -4.08,
  "total_magnetization_mub_per_fu": 0.00,
  "mass_density_g_cm3": 8.25,
  "lattice": [[7.1444, 0.0000, 3.2892], [3.5722, 7.4076, 1.6446], [0.4744, 0.0000, 8.3734]],
  "species": ["Th", "Th", "Ga", "Ga", "Ga", "Ga", "Ga", "Ga", "Ga", "Ga", "Ga", "Ga", "Ga", "Ga", "Ga", "Ga", "Ga", "Ga", "Ga", "Ga", "Pd", "Pd", "Pd", "Pd"],
  "fractional_positions": [[0.5000, 0.0000, 0.0000], [0.2500, 0.5000, 0.5000], [0.7500, 0.5000, 0.5000], [0.0000, 0.0000, 0.0000], [0.0035, 0.9172, 0.6762], [0.5969, 0.0828, 0.3238], [0.6707, 0.1762, 0.5828], [0.4297, 0.8238, 0.4172], [0.7465, 0.8238, 0.5828], [0.1531, 0.1762, 0.4172], [0.0793, 0.9172, 0.3238], [0.3203, 0.0828, 0.6762], [0.7465, 0.5828, 0.8238], [0.1531, 0.4172, 0.1762], [0.0793, 0.3238, 0.9172], [0.3203, 0.6762, 0.0828], [0.0035, 0.6762, 0.9172], [0.5969, 0.3238, 0.0828], [0.6707, 0.5828, 0.1762], [0.4297, 0.4172, 0.8238], [0.8750, 0.2500, 0.7500], [0.8750, 0.7500, 0.2500], [0.8750, 0.2500, 0.2500], [0.3750, 0.7500, 0.7500]]
}

{
  "formula": "Th2GaPd",
  "functional": "GGA-PBE",
  "state": "optimized geometry",
  "sg": "Amm2, No. 38",
  "polymorph_energy_ev_per_atom": 0.0000,
  "total_magnetization_mub_per_fu": 0.00,
  "mass_density_g_cm3": 10.62,
  "lattice": [[-4.3029, -0.0714, -0.3999], [0.3671, -1.9677, -3.5982], [-0.3510, -3.9552, 4.4830]],
  "species": ["Th", "Th", "Ga", "Pd"],
  "fractional_positions": [[0.0000, 0.9785, 0.9569], [0.5000, 0.2712, 0.5425], [0.0000, 0.6982, 0.3964], [0.5000, 0.5514, 0.1027]]
}

{
  "formula": "ThGa2Pd8",
  "functional": "GGA-PBE",
  "state": "optimized geometry",
  "sg": "C2/m, No. 12",
  "e_tot_ev_per_atom": -5.64,
  "total_magnetization_mub_per_fu": 0.00,
  "mass_density_g_cm3": 11.10,
  "lattice": [[-3.2406, -2.6484, 0.0033], [3.7477, -4.5817, 3.1454], [-1.9471, 5.6947, 4.3845]],
  "species": ["Th", "Ga", "Ga", "Pd", "Pd", "Pd", "Pd", "Pd", "Pd", "Pd", "Pd"],
  "fractional_positions": [[0.5000, 0.0000, 0.0000], [0.7932, 0.3323, 0.5864], [0.2068, 0.6677, 0.4136], [0.3958, 0.5258, 0.7916], [0.6810, 0.9315, 0.3621], [0.8348, 0.7500, 0.6695], [0.9622, 0.2723, 0.9245], [0.1652, 0.2500, 0.3305], [0.3190, 0.0685, 0.6379], [0.6042, 0.4742, 0.2084], [0.0378, 0.7277, 0.0755]]
}

{
  "formula": "ThGa2Pd6",
  "functional": "GGA-PBE",
  "state": "optimized geometry",
  "sg": "Immm, No. 71",
  "e_tot_ev_per_atom": -5.52,
  "total_magnetization_mub_per_fu": 0.00,
  "mass_density_g_cm3": 10.68,
  "lattice": [[7.4552, -0.3855, -0.0872], [-3.1814, 6.7533, 0.0872], [-2.3820, -3.0194, 6.3989]],
  "species": ["Th", "Th", "Ga", "Ga", "Ga", "Ga", "Pd", "Pd", "Pd", "Pd", "Pd", "Pd", "Pd", "Pd", "Pd", "Pd", "Pd", "Pd"],
  "fractional_positions": [[0.0000, 0.5000, 0.5000], [0.0000, 0.0000, 0.0000], [0.5000, 0.3706, 0.8706], [0.5000, 0.6294, 0.1294], [0.6461, 0.0000, 0.6461], [0.3539, 0.0000, 0.3539], [0.4930, 0.7027, 0.7903], [0.5070, 0.2973, 0.2097], [0.0876, 0.2973, 0.7903], [0.9124, 0.7027, 0.2097], [0.7770, 0.7565, 0.5335], [0.2230, 0.2435, 0.4665], [0.2230, 0.7565, 0.9796], [0.7770, 0.2435, 0.0204], [0.7192, 0.3992, 0.6801], [0.2808, 0.6008, 0.3199], [0.2808, 0.9609, 0.6801], [0.7192, 0.0391, 0.3199]]
}

{
  "formula": "Th7Ga2Pd2",
  "functional": "GGA-PBE",
  "state": "optimized geometry",
  "sg": "Cmmm, No. 65",
  "e_tot_ev_per_atom": -6.36,
  "total_magnetization_mub_per_fu": 0.00,
  "mass_density_g_cm3": 10.35,
  "lattice": [[-5.9997, 2.2394, -2.4629], [-2.8198, -6.4223, 1.0296], [0.0578, 1.0613, 6.7785]],
  "species": ["Th", "Th", "Th", "Th", "Th", "Th", "Th", "Ga", "Ga", "Pd", "Pd"],
  "fractional_positions": [[0.0001, 0.2868, 0.5000], [0.5000, 0.7132, 0.0001], [0.9999, 0.7132, 0.5000], [0.5000, 0.2868, 0.9999], [0.0000, 0.0000, 0.0000], [0.5000, 0.7391, 0.5000], [0.5000, 0.2609, 0.5000], [0.8395, 0.5000, 0.8395], [0.1605, 0.5000, 0.1605], [0.7272, 0.0000, 0.2728], [0.2728, 0.0000, 0.7272]]
}

{
  "formula": "ThGaPd3",
  "functional": "GGA-PBE",
  "state": "optimized geometry",
  "sg": "Pbam, No. 55",
  "e_tot_ev_per_atom": -5.77,
  "total_magnetization_mub_per_fu": 0.00,
  "mass_density_g_cm3": 10.05,
  "lattice": [[5.0658, 0.0000, 0.0000], [0.0000, 5.6278, 0.0000], [0.0000, 0.0000, 7.1985]],
  "species": ["Th", "Th", "Ga", "Ga", "Pd", "Pd", "Pd", "Pd", "Pd", "Pd"],
  "fractional_positions": [[0.5000, 0.0000, 0.0000], [0.5000, 0.5000, 0.5000], [0.0000, 0.5000, 0.0000], [0.0000, 0.0000, 0.5000], [0.5000, 0.5000, 0.0000], [0.5000, 0.0000, 0.5000], [0.0000, 0.6185, 0.3247], [0.0000, 0.1185, 0.1753], [0.0000, 0.3815, 0.6753], [0.0000, 0.8815, 0.8247]]
}

{
  "formula": "ThGa4Pd4",
  "functional": "GGA-PBE",
  "state": "optimized geometry",
  "sg": "P4_2/nmc, No. 137",
  "e_tot_ev_per_atom": -5.10,
  "total_magnetization_mub_per_fu": 0.00,
  "mass_density_g_cm3": 9.61,
  "lattice": [[-1.9520, 1.3076, -5.6604], [-3.0418, -5.3174, -0.1794], [-6.9565, 3.8684, 3.2926]],
  "species": ["Th", "Th", "Ga", "Ga", "Ga", "Ga", "Ga", "Ga", "Ga", "Ga", "Pd", "Pd", "Pd", "Pd", "Pd", "Pd", "Pd", "Pd"],
  "fractional_positions": [[0.0000, 0.0000, 0.0000], [0.5000, 0.5000, 0.5000], [0.5000, 0.7930, 0.8200], [0.5000, 0.2070, 0.8200], [0.7930, 0.5000, 0.1800], [0.2070, 0.5000, 0.1800], [0.2930, 0.0000, 0.3200], [0.7070, 0.0000, 0.3200], [0.0000, 0.2930, 0.6800], [0.0000, 0.7070, 0.6800], [0.2279, 0.5000, 0.8862], [0.7721, 0.5000, 0.8862], [0.5000, 0.7721, 0.1138], [0.5000, 0.2279, 0.1138], [0.0000, 0.7279, 0.3862], [0.0000, 0.2721, 0.3862], [0.2721, 0.0000, 0.6138], [0.7279, 0.0000, 0.6138]]
}

{
  "formula": "Th3Ga6Pd5",
  "functional": "GGA-PBE",
  "state": "optimized geometry",
  "sg": "Pmmn, No. 59",
  "e_tot_ev_per_atom": -5.50,
  "total_magnetization_mub_per_fu": 0.00,
  "mass_density_g_cm3": 10.13,
  "lattice": [[4.3586, 0.0000, 0.0000], [0.0000, 9.5290, 0.0000], [0.0000, 0.0000, 13.0011]],
  "species": ["Th", "Th", "Th", "Th", "Th", "Th", "Ga", "Ga", "Ga", "Ga", "Ga", "Ga", "Ga", "Ga", "Ga", "Ga", "Ga", "Ga", "Pd", "Pd", "Pd", "Pd", "Pd", "Pd", "Pd", "Pd", "Pd", "Pd"],
  "fractional_positions": [[0.0000, 0.2429, 0.6942], [0.5000, 0.7571, 0.1942], [0.5000, 0.7571, 0.8058], [0.0000, 0.2548, 0.0000], [0.5000, 0.7452, 0.5000], [0.0000, 0.2429, 0.3058], [0.0000, 0.9833, 0.8484], [0.5000, 0.0167, 0.6516], [0.5000, 0.4096, 0.8209], [0.5000, 0.5651, 0.0000], [0.0000, 0.4349, 0.5000], [0.0000, 0.5904, 0.6791], [0.0000, 0.5904, 0.3209], [0.5000, 0.9655, 0.0000], [0.0000, 0.9833, 0.1516], [0.5000, 0.4096, 0.1791], [0.0000, 0.0345, 0.5000], [0.5000, 0.0167, 0.3484], [0.0000, 0.5353, 0.8847], [0.0000, 0.8610, 0.6547], [0.0000, 0.7930, 0.0000], [0.5000, 0.4647, 0.6153], [0.5000, 0.2070, 0.5000], [0.0000, 0.5353, 0.1153], [0.5000, 0.4647, 0.3847], [0.0000, 0.8610, 0.3453], [0.5000, 0.1390, 0.8453], [0.5000, 0.1390, 0.1547]]
}

{
  "formula": "ThGa6Pd6",
  "functional": "GGA-PBE",
  "state": "optimized geometry",
  "sg": "Immm, No. 71",
  "e_tot_ev_per_atom": -4.96,
  "total_magnetization_mub_per_fu": 0.00,
  "mass_density_g_cm3": 9.65,
  "lattice": [[-1.4613, -5.2840, 0.3022], [5.1757, -4.1700, 1.9949], [-1.7650, -1.9982, 6.4069]],
  "species": ["Th", "Ga", "Ga", "Ga", "Ga", "Ga", "Ga", "Pd", "Pd", "Pd", "Pd", "Pd", "Pd"],
  "fractional_positions": [[0.0000, 0.0000, 0.0000], [0.3460, 0.6540, 0.6540], [0.6540, 0.3460, 0.3460], [0.0000, 0.3539, 0.6461], [0.0000, 0.6461, 0.3539], [0.3161, 0.1839, 0.1839], [0.6839, 0.8161, 0.8161], [0.0000, 0.5000, 0.0000], [0.5000, 0.5000, 0.0000], [0.0000, 0.0000, 0.5000], [0.5000, 0.0000, 0.5000], [0.5000, 0.7628, 0.2372], [0.5000, 0.2372, 0.7628]]
}

{
  "formula": "Th2Ga2Pd3",
  "functional": "GGA-PBE",
  "state": "optimized geometry",
  "sg": "Cmcm, No. 63",
  "e_tot_ev_per_atom": -6.00,
  "total_magnetization_mub_per_fu": 0.00,
  "mass_density_g_cm3": 10.50,
  "lattice": [[4.0227, 0.0000, -0.9590], [0.0000, 7.2392, 0.0000], [0.2493, 0.0000, 9.9614]],
  "species": ["Th", "Th", "Th", "Th", "Ga", "Ga", "Ga", "Ga", "Pd", "Pd", "Pd", "Pd", "Pd", "Pd"],
  "fractional_positions": [[0.1516, 0.2500, 0.3032], [0.8484, 0.7500, 0.6968], [0.9393, 0.2500, 0.8787], [0.0607, 0.7500, 0.1213], [0.6942, 0.9443, 0.3883], [0.3058, 0.0557, 0.6117], [0.3058, 0.4443, 0.6117], [0.6942, 0.5557, 0.3883], [0.2258, 0.7500, 0.4516], [0.7742, 0.2500, 0.5484], [0.5658, 0.4505, 0.1316], [0.4342, 0.5495, 0.8684], [0.4342, 0.9505, 0.8684], [0.5658, 0.0495, 0.1316]]
}

{
  "formula": "ThGa6Pd2",
  "functional": "GGA-PBE",
  "state": "optimized geometry",
  "sg": "P-31m, No. 162",
  "e_tot_ev_per_atom": -4.16,
  "total_magnetization_mub_per_fu": 0.00,
  "mass_density_g_cm3": 7.28,
  "lattice": [[4.9904, 0.0000, 0.0000], [-2.4952, 4.3219, 0.0000], [0.0000, 0.0000, 9.1295]],
  "species": ["Th", "Ga", "Ga", "Ga", "Ga", "Ga", "Ga", "Pd", "Pd"],
  "fractional_positions": [[0.0000, 0.0000, 0.0000], [0.6552, 0.0000, 0.2771], [0.3448, 0.3448, 0.2771], [0.0000, 0.6552, 0.2771], [0.6552, 0.6552, 0.7229], [0.0000, 0.3448, 0.7229], [0.3448, 0.0000, 0.7229], [0.3333, 0.6667, 0.5000], [0.6667, 0.3333, 0.5000]]
}

{
  "formula": "Th3Ga2Pd6",
  "functional": "GGA-PBE",
  "state": "optimized geometry",
  "sg": "Im-3m, No. 229",
  "e_tot_ev_per_atom": -6.20,
  "total_magnetization_mub_per_fu": 0.00,
  "mass_density_g_cm3": 11.14,
  "lattice": [[-2.5156, -7.7904, 1.3354], [7.2075, -0.0871, -4.1044], [1.0047, 3.8656, 7.2697]],
  "species": ["Th", "Th", "Th", "Th", "Th", "Th", "Ga", "Ga", "Ga", "Ga", "Pd", "Pd", "Pd", "Pd", "Pd", "Pd", "Pd", "Pd", "Pd", "Pd", "Pd", "Pd"],
  "fractional_positions": [[0.7150, 0.0000, 0.7150], [0.2850, 0.0000, 0.2850], [0.0000, 0.2850, 0.2850], [0.0000, 0.7150, 0.7150], [0.2850, 0.2850, 0.0000], [0.7150, 0.7150, 0.0000], [0.0000, 0.5000, 0.0000], [0.5000, 0.0000, 0.0000], [0.0000, 0.0000, 0.5000], [0.5000, 0.5000, 0.5000], [0.6652, 0.3305, 0.6652], [0.6652, 0.0000, 0.3348], [0.3348, 0.0000, 0.6652], [0.3348, 0.6695, 0.3348], [0.0000, 0.6652, 0.3348], [0.6695, 0.3348, 0.3348], [0.3305, 0.6652, 0.6652], [0.0000, 0.3348, 0.6652], [0.3348, 0.6652, 0.0000], [0.6652, 0.6652, 0.3305], [0.3348, 0.3348, 0.6695], [0.6652, 0.3348, 0.0000]]
}

{
  "formula": "ThGaPd4",
  "functional": "GGA-PBE",
  "state": "optimized geometry",
  "sg": "F-43m, No. 216",
  "polymorph_energy_ev_per_atom": 0.1471,
  "total_magnetization_mub_per_fu": 0.00,
  "mass_density_g_cm3": 10.92,
  "lattice": [[5.3879, 0.0000, 0.0000], [2.6940, 4.6661, 0.0000], [2.6940, 1.5554, 4.3992]],
  "species": ["Ga", "Pd", "Pd", "Pd", "Pd", "Th"],
  "fractional_positions": [[0.0000, 0.0000, 0.0000], [0.6256, 0.6256, 0.1232], [0.6256, 0.1232, 0.6256], [0.6256, 0.6256, 0.6256], [0.1232, 0.6256, 0.6256], [0.2500, 0.2500, 0.2500]]
}

{
  "formula": "ThGa4Pd6",
  "functional": "GGA-PBE",
  "state": "optimized geometry",
  "sg": "P-6m2, No. 187",
  "e_tot_ev_per_atom": -5.35,
  "total_magnetization_mub_per_fu": 0.00,
  "mass_density_g_cm3": 10.25,
  "lattice": [[3.9646, 0.0000, 0.0000], [0.0000, 7.3639, 0.0000], [0.0000, -3.6820, 6.3773]],
  "species": ["Th", "Ga", "Ga", "Ga", "Ga", "Pd", "Pd", "Pd", "Pd", "Pd", "Pd"],
  "fractional_positions": [[0.0000, 0.0000, 0.0000], [0.5000, 0.7986, 0.5973], [0.5000, 0.4027, 0.2014], [0.5000, 0.7986, 0.2014], [0.0000, 0.3333, 0.6667], [0.0000, 0.5332, 0.0664], [0.5000, 0.6061, 0.8031], [0.0000, 0.5332, 0.4668], [0.0000, 0.9336, 0.4668], [0.5000, 0.1969, 0.8031], [0.5000, 0.1969, 0.3939]]
}